one:
10
Lattice="7.504 0.000 0.000 0.000 7.504 0.000 0.000 0.000 2.856" Properties=species:S:1:pos:R:3 comment="Mo2PbO2, optimized geometry, DFT PBE+U" vol_a3_per_cell=161 m_tot_mub_per_fu=2.62 pbc="T T T"
Pb 0.000 0.000 0.000
Pb 3.752 3.752 0.000
O 6.663 4.593 0.000
O 4.593 0.841 0.000
O 0.841 2.911 0.000
O 2.911 6.663 0.000
Mo 4.656 6.599 1.428
Mo 0.905 4.656 1.428
Mo 2.847 0.905 1.428
Mo 6.599 2.847 1.428


two:
5
Lattice="-2.543 1.406 -2.296 -2.284 -2.798 0.817 -4.768 2.570 3.868" Properties=species:S:1:pos:R:3 comment="Mo2PbO2, optimized geometry, DFT PBE+U" vol_a3_per_cell=84 m_tot_mub_per_fu=1.08 pbc="T T T"
O -3.121 0.286 0.645
O -6.474 0.892 1.744
Mo -4.862 1.640 0.416
Mo -4.733 -0.462 1.973
Pb 0.000 0.000 0.000


If you had to bet on the most stable structure above, which would it be? Bet on two.